# 1
The following is a GGA-PBE calculation of a relaxed structure of Pr2BiSb, from the Alexandria database.

a = 4.5610 Å, b = 4.5610 Å, c = 8.2383 Å
α = 73.93°, β = 73.93°, γ = 60.00°
Positions (direct):
Pr: 0.0792 0.0792 0.7623
Pr: 0.2540 0.2540 0.2380
Bi: 0.4989 0.4989 0.5032
Sb: 0.6678 0.6678 0.9965

Values from the calculation:
Energy relative to the lowest polymorph listed for this composition = 107.1 meV per atom
Volume = 35.159 A^3/atom
SG = R3m (160)
Density of states at the Fermi level = 0.423 states/eV/f.u.
Formation energy from raw total energies = -0.970 eV per atom
Electronic total energy = -5.360 eV per atom

=====

# 2
The following is a GGA-PBE calculation of a relaxed structure of Pm4SnSb2, from the Alexandria database.

a = 8.2021 Å, b = 8.2021 Å, c = 8.2021 Å
α = 109.51°, β = 109.40°, γ = 109.51°
Positions (direct):
Pm: 0.1259 0.8917 0.3742
Pm: 0.6258 0.7516 0.5175
Pm: 0.9841 0.6083 0.7325
Pm: 0.2675 0.2516 0.8758
Pm: 0.6241 0.7484 0.0159
Pm: 0.7659 0.2484 0.8741
Pm: 0.4825 0.1083 0.2341
Pm: 0.1242 0.3917 0.3759
Sn: 0.0000 0.0000 0.0000
Sn: 0.7500 0.5000 0.2500
Sb: 0.8750 0.1251 0.5001
Sb: 0.4999 0.3749 0.6250
Sb: 0.3750 0.8749 0.7499
Sb: 0.2501 0.6251 0.1250

Values from the calculation:
Energy relative to the lowest polymorph listed for this composition = 0.0 meV per atom
Volume = 30.341 A^3/atom
SG = I-42d (122)
Density of states at the Fermi level = 7.310 states/eV/f.u.
Formation energy from raw total energies = -0.958 eV per atom
Electronic total energy = -5.423 eV per atom

=====

# 3
The following is a GGA-PBE calculation of a relaxed structure of HfGa2PbCl8, from the Alexandria database.

a = 6.9552 Å, b = 6.7113 Å, c = 8.3388 Å
α = 89.98°, β = 90.02°, γ = 92.90°
Positions (direct):
Hf: 0.0000 0.0000 0.0000
Ga: 0.5001 0.4991 0.7449
Ga: 0.4999 0.5009 0.2551
Pb: 0.0000 0.0000 0.5000
Cl: 0.1316 0.7850 0.2138
Cl: 0.7021 0.7973 0.9999
Cl: 0.8684 0.2149 0.2135
Cl: 0.8684 0.2150 0.7862
Cl: 0.2979 0.2027 0.0001
Cl: 0.1316 0.7851 0.7865
Cl: 0.6686 0.7238 0.5000
Cl: 0.3314 0.2762 0.5000

Values from the calculation:
Volume = 32.395 A^3/atom
SG = P-1 (2)
Density of states at the Fermi level = 0.000 states/eV/f.u.
Formation energy from raw total energies = -1.286 eV per atom
Electronic total energy = -4.161 eV per atom

=====

# 4
The following is a GGA-PBE calculation of a relaxed structure of LaTm3Pu2Se6, from the Alexandria database.

a = 7.0698 Å, b = 7.0698 Å, c = 7.2101 Å
α = 99.42°, β = 99.42°, γ = 120.05°
Each line ends with the local moment (μB).
Positions (direct):
La: 0.0000 0.0000 0.0000  0.10
Tm: 0.1642 0.8358 0.5000  0.01
Tm: 0.8358 0.1642 0.5000  0.01
Tm: 0.5000 0.5000 0.5000  0.00
Pu: 0.3328 0.6672 0.0000  5.52
Pu: 0.6672 0.3328 0.0000  5.52
Se: 0.9111 0.5710 0.7338  -0.02
Se: 0.7476 0.7476 0.2640  -0.02
Se: 0.0889 0.4290 0.2662  -0.02
Se: 0.5710 0.9111 0.7338  -0.02
Se: 0.2524 0.2524 0.7360  -0.02
Se: 0.4290 0.0889 0.2662  -0.02

Values from the calculation:
Volume = 24.561 A^3/atom
SG = C2/m (12)
Density of states at the Fermi level = 19.212 states/eV/f.u.
Formation energy from raw total energies = -1.698 eV per atom
Electronic total energy = -7.358 eV per atom

=====

The highest density of states at the Fermi level belongs to which entry?
LaTm3Pu2Se6

=====

The highest volume belongs to which entry?
Pr2BiSb

=====

The highest density of states at the Fermi level belongs to which entry?
LaTm3Pu2Se6

=====

density of states at the Fermi level of number 4 (LaTm3Pu2Se6)?
19.212 states/eV/f.u.